Entry 1:
## ZrMnAgSb2 (PBE)

Data for a geometry-optimized ZrMnAgSb2 structure.

Geometry as CIF:
```
data_ZrMnAgSb2
_cell_length_a 5.222
_cell_length_b 5.222
_cell_length_c 5.303
_cell_angle_alpha 90.00
_cell_angle_beta 90.00
_cell_angle_gamma 90.00
_space_group_name_H-M_alt 'P 1'
_space_group_IT_number 1
loop_
_space_group_symop_operation_xyz
'x,y,z'
loop_
_atom_site_label
_atom_site_type_symbol
_atom_site_fract_x
_atom_site_fract_y
_atom_site_fract_z
Zr1 Zr 0.000 0.000 0.000
Mn1 Mn 0.500 0.500 0.000
Ag1 Ag 0.000 0.000 0.500
Sb1 Sb 0.000 0.500 0.500
Sb2 Sb 0.500 0.000 0.500
```

Space-group type: No. 123
E_form (uncorrected), eV/atom: 1.0041



Entry 2:
## HgBSe2Br (PBE)

Data for a geometry-optimized HgBSe2Br structure.

Geometry as CIF:
```
data_HgBSe2Br
_cell_length_a 4.675
_cell_length_b 4.675
_cell_length_c 4.644
_cell_angle_alpha 90.00
_cell_angle_beta 90.00
_cell_angle_gamma 90.00
_space_group_name_H-M_alt 'P 1'
_space_group_IT_number 1
loop_
_space_group_symop_operation_xyz
'x,y,z'
loop_
_atom_site_label
_atom_site_type_symbol
_atom_site_fract_x
_atom_site_fract_y
_atom_site_fract_z
Hg1 Hg 0.000 0.000 0.000
B1 B 0.500 0.500 0.500
Se1 Se 0.000 0.500 0.500
Se2 Se 0.500 0.000 0.500
Br1 Br 0.500 0.500 0.000
```

Space-group type: No. 123
E_form (uncorrected), eV/atom: 0.6193



Entry 3:
## Li2YHoHg4 (PBE)

Data for a geometry-optimized Li2YHoHg4 structure.

Geometry as CIF:
```
data_Li2YHoHg4
_cell_length_a 8.693
_cell_length_b 8.693
_cell_length_c 8.693
_cell_angle_alpha 33.55
_cell_angle_beta 33.55
_cell_angle_gamma 33.55
_space_group_name_H-M_alt 'P 1'
_space_group_IT_number 1
loop_
_space_group_symop_operation_xyz
'x,y,z'
loop_
_atom_site_label
_atom_site_type_symbol
_atom_site_fract_x
_atom_site_fract_y
_atom_site_fract_z
Li1 Li 0.250 0.250 0.250
Li2 Li 0.750 0.750 0.750
Y1 Y 0.000 0.000 0.000
Ho1 Ho 0.500 0.500 0.500
Hg1 Hg 0.126 0.126 0.126
Hg2 Hg 0.376 0.376 0.376
Hg3 Hg 0.624 0.624 0.624
Hg4 Hg 0.874 0.874 0.874
```

Space-group type: No. 166
Energy of formation from the pure elements, eV/atom: -0.4415



Size of the total moment? In order: 3.866, 0.000, 0.000 μB/f.u..
Final energy? In order: -4.759, -2.505, -2.451 eV/atom.